(1)
The following is a DFT calculation (meta-GGA SCAN) of a crystal of LaCo2SbO relaxed with PBEsol.

a = 4.2789 Å, b = 4.2789 Å, c = 6.3886 Å
α = 90.00°, β = 90.00°, γ = 90.00°
Space group P4/mmm (No. 123)
Asymmetric unit:
1 La 0.0000 0.0000 0.0000
2 Co 0.0000 0.5000 0.0000
3 Sb 0.0000 0.0000 0.5000
4 O 0.5000 0.5000 0.5000

- E_form (uncorrected): 1.84 eV/atom
- Magnetic moment: 1.918 μB per formula unit



(2)
The following is a DFT calculation (meta-GGA SCAN) of a crystal of Nd2ZnAg relaxed with PBEsol.

a = 7.3062 Å, b = 7.3062 Å, c = 7.3062 Å
α = 90.00°, β = 90.00°, γ = 90.00°
Space group Fm-3m (No. 225)
Asymmetric unit:
1 Nd 0.2500 0.2500 0.2500
2 Zn 0.0000 0.0000 0.0000
3 Ag 0.0000 0.0000 0.5000

- Magnetic moment: 0.104 μB per formula unit
- Energy of formation from the pure elements: -0.34 eV per atom



These records have VASP energy values of -112.0, -533.6 eV for the cell shown, in the order they appear.